Entry 1:
Entry from Alexandria: a relaxed CsCaTlAuSe crystal (PBE).

Cell and atoms, written as POSCAR:
```
CsCaTlAuSe
1.0
2.4410 1.4093 8.2970
-2.4410 1.4093 8.2970
0.0000 -2.8186 8.2970
Cs Ca Tl Au Se
1 1 1 1 1
direct
0.0000 0.0000 0.0000
0.8087 0.8087 0.8087
0.5550 0.5550 0.5550
0.2118 0.2118 0.2118
0.4286 0.4286 0.4286
```

Computed properties:
E above lowest polymorph = 0 meV/atom
Uncorrected formation energy = -4.21 eV/f.u.

***

Entry 2:
Entry from Alexandria: a relaxed Cs2CaSnAu crystal (PBE).

Cell and atoms, written as POSCAR:
```
Cs2CaSnAu
1.0
6.5781 0.0000 0.0000
0.0000 6.5781 0.0000
0.0000 0.0000 5.9184
Cs Ca Sn Au
2 1 1 1
direct
0.0000 0.5000 0.0000
0.5000 0.0000 0.0000
0.0000 0.0000 0.5000
0.5000 0.5000 0.5000
0.0000 0.0000 0.0000
```

Computed properties:
Energy of formation from the pure elements = 0.217 eV per formula unit

***

Entry 3:
Entry from Alexandria: a relaxed CsCaSn2Au crystal (PBE).

Cell and atoms, written as POSCAR:
```
CsCaSn2Au
1.0
6.1049 0.0000 0.0000
0.0000 6.1049 0.0000
0.0000 0.0000 5.8757
Cs Ca Sn Au
1 1 2 1
direct
0.0000 0.0000 0.0000
0.5000 0.5000 0.5000
0.0000 0.5000 0.0000
0.5000 0.0000 0.0000
0.0000 0.0000 0.5000
```

Computed properties:
Energy of formation from the pure elements = 4.652 eV per formula unit

***

Entry 4:
Entry from Alexandria: a relaxed CsSr2CaAu crystal (PBE).

Cell and atoms, written as POSCAR:
```
CsSr2CaAu
1.0
6.3509 0.0000 0.0000
0.0000 6.3509 0.0000
0.0000 0.0000 6.0510
Cs Sr Ca Au
1 2 1 1
direct
0.0000 0.0000 0.0000
0.0000 0.5000 0.5000
0.5000 0.0000 0.5000
0.5000 0.5000 0.0000
0.5000 0.5000 0.5000
```

Computed properties:
Energy of formation from the pure elements = -1.272 eV per formula unit

***

Entry 5:
Entry from Alexandria: a relaxed Ca3CuAu2 crystal (PBE).

Cell and atoms, written as POSCAR:
```
Ca3CuAu2
1.0
11.9133 0.0000 0.0000
0.0000 4.3171 0.0000
0.0000 0.0000 11.9500
Ca Cu Au
12 4 8
direct
0.0487 0.2500 0.1258
0.1225 0.7500 0.5600
0.2153 0.2500 0.8043
0.2847 0.7500 0.3043
0.3775 0.2500 0.0600
0.4513 0.7500 0.6258
0.5487 0.2500 0.3742
0.6225 0.7500 0.9400
0.7153 0.2500 0.6957
0.7847 0.7500 0.1957
0.8775 0.2500 0.4400
0.9513 0.7500 0.8742
0.1253 0.2500 0.3751
0.3747 0.7500 0.8751
0.6253 0.2500 0.1249
0.8747 0.7500 0.6249
0.0154 0.7500 0.3135
0.1903 0.7500 0.9976
0.3097 0.2500 0.4976
0.4846 0.2500 0.8135
0.5154 0.7500 0.1865
0.6903 0.7500 0.5024
0.8097 0.2500 0.0024
0.9846 0.2500 0.6865
```

Computed properties:
Energy of formation from the pure elements = -3.649 eV per formula unit

***

Entry 6:
Entry from Alexandria: a relaxed CaCu2Au6 crystal (PBE).

Cell and atoms, written as POSCAR:
```
CaCu2Au6
1.0
0.0000 5.8444 5.8444
5.8444 0.0000 5.8444
5.8444 5.8444 0.0000
Ca Cu Au
2 4 12
direct
0.1250 0.1250 0.1250
0.8750 0.8750 0.8750
0.0000 0.5000 0.5000
0.5000 0.0000 0.5000
0.5000 0.5000 0.0000
0.5000 0.5000 0.5000
0.1255 0.1255 0.6245
0.1255 0.6245 0.1255
0.1255 0.6245 0.6245
0.3755 0.3755 0.8745
0.3755 0.8745 0.3755
0.3755 0.8745 0.8745
0.6245 0.1255 0.1255
0.6245 0.1255 0.6245
0.6245 0.6245 0.1255
0.8745 0.3755 0.3755
0.8745 0.3755 0.8745
0.8745 0.8745 0.3755
```

Computed properties:
Energy of formation from the pure elements = 0.070 eV per formula unit